No. 1
VASP calculation (PBE-GGA) on a relaxed structure of Na4Cd2In2Sn.

## Properties
- DFT total energy (eV per atom) = -1.95
- N(E_F) (states/eV per cell) = 3.2
- DFT formation energy (meV per atom) = -108
- V (Å³ per atom) = 26.09

Lattice parameters (Å, degrees): 5.549 5.862 7.633 73.71 81.30 83.05
Space group P-1 (No. 2)
Unique sites:
Na: 0.102 0.061 0.284 x2
Na: 0.325 0.176 0.823 x2
Cd: 0.460 0.719 0.607 x2
In: 0.232 0.602 0.051 x2
Sn: 0.000 0.500 0.500 x1


No. 2
VASP calculation (PBE-GGA) on a relaxed structure of Ac2AgAs.

## Properties
- DFT total energy (eV per atom) = -4.68
- N(E_F) (states/eV per cell) = 15.7
- relative energy among the computed polymorphs (meV per atom) = 1.7
- DFT formation energy (meV per atom) = -751
- V (Å³ per atom) = 34.19

Lattice parameters (Å, degrees): 4.4647 4.4647 23.7642 90.00 90.00 120.00
Space group R-3m (No. 166, hexagonal axes)
Unique sites:
Ac: 0.0000 0.0000 0.2440 x6
Ag: 0.0000 0.0000 0.0000 x3
As: 0.0000 0.0000 0.5000 x3


No. 3
VASP calculation (PBE-GGA) on a relaxed structure of CaScPb2C.

## Properties
- DFT total energy (eV per atom) = -4.45
- N(E_F) (states/eV per cell) = 4.7
- DFT formation energy (meV per atom) = 548
- V (Å³ per atom) = 24.74

Lattice parameters (Å, degrees): 5.139 5.139 4.683 90.00 90.00 90.00
Space group P4/mmm (No. 123)
Unique sites:
Ca: 0.000 0.000 0.000 x1
Sc: 0.500 0.500 0.000 x1
Pb: 0.000 0.500 0.500 x2
C: 0.000 0.000 0.500 x1


No. 4
VASP calculation (PBE-GGA) on a relaxed structure of Li2ThPbI8.

## Properties
- DFT total energy (eV per atom) = -3.33
- N(E_F) (states/eV per cell) = 0.0
- formation energy from raw total energies (meV per atom) = -1050.2
- V (Å³ per atom) = 44.61

Lattice parameters (Å, degrees): 7.705 7.900 9.427 73.03 89.84 77.77
Space group P-1 (No. 2)
Unique sites:
Li: 0.040 0.147 0.331 x2
Th: 0.500 0.500 0.000 x1
Pb: 0.500 0.500 0.500 x1
I: 0.111 0.769 0.430 x2
I: 0.132 0.752 0.949 x2
I: 0.378 0.275 0.818 x2
I: 0.386 0.257 0.298 x2


No. 5
VASP calculation (PBE-GGA) on a relaxed structure of ZrTcNCl2.

## Properties
- DFT total energy (eV per atom) = -5.88
- N(E_F) (states/eV per cell) = 9.9
- formation energy from raw total energies (meV per atom) = 311.4
- V (Å³ per atom) = 18.29

Lattice parameters (Å, degrees): 4.957 4.957 3.722 90.00 90.00 90.00
Space group P4/mmm (No. 123)
Unique sites:
Zr: 0.000 0.000 0.000 x1
Tc: 0.500 0.500 0.500 x1
N: 0.500 0.500 0.000 x1
Cl: 0.000 0.500 0.500 x2


No. 6
VASP calculation (PBE-GGA) on a relaxed structure of Y2PuCo9.

## Properties
- DFT total energy (eV per atom) = -7.65
- N(E_F) (states/eV per cell) = 92.4
- DFT formation energy (meV per atom) = -53
- V (Å³ per atom) = 14.51

Lattice parameters (Å, degrees): 4.9727 4.9727 24.3910 90.00 90.00 120.00
Space group R-3m (No. 166, hexagonal axes)
Unique sites:
Y: 0.0000 0.0000 0.1393 x6
Pu: 0.0000 0.0000 0.0000 x3
Co: 0.0000 0.0000 0.3344 x6
Co: 0.0000 0.0000 0.5000 x3
Co: 0.0021 0.5010 0.9188 x18


> Which formula does entry 6 have?

Y2PuCo9


> Look up the V of the second one.

34.19 Å³ per atom